[1]
Crystalline CdSbRu at its relaxed geometry. Source: Alexandria, functional PBE.

```
3
Lattice="-4.2469 -1.3876 -0.1594 2.2682 -0.1819 3.8483 -1.0938 3.2559 0.7985" Properties=species:S:1:pos:R:3 pbc="T T T"
Cd -1.0935 3.2551 0.7983
Ru -2.6223 0.6428 1.5759
Sb -0.4505 1.0444 2.9118
```

Its space-group type is P-6m2 (187). The uncorrected formation energy comes out at 0.737 eV per formula unit. Its density of states at the Fermi level is 1.70 states/eV/cell. The total energy is -4.525 eV per atom. The magnetic moment is 0.0 μB/cell.


[2]
Crystalline ScW2Cl at its relaxed geometry. Source: Alexandria, functional PBE.

```
4
Lattice="-4.5271 -4.6118 0.2360 -1.5538 -6.2612 0.4495 0.3586 1.0627 3.2165" Properties=species:S:1:pos:R:3 pbc="T T T"
Cl -4.2917 -7.3577 2.9265
Sc -1.4306 -2.4526 0.9755
W -5.4469 -9.3377 3.7164
W -3.1366 -5.3776 2.1366
```

Its space-group type is C2/m (12). The uncorrected formation energy comes out at 0.602 eV per formula unit. Its density of states at the Fermi level is 2.70 states/eV/cell. The total energy is -8.371 eV per atom. The magnetic moment is 0.0 μB/cell.


[3]
Crystalline KLaBe4 at its relaxed geometry. Source: Alexandria, functional PBE.

```
6
Lattice="0.0000 3.8306 3.8306 3.8306 0.0000 3.8306 3.8306 3.8306 0.0000" Properties=species:S:1:pos:R:3 pbc="T T T"
K 5.7458 5.7458 5.7458
La 0.0000 0.0000 0.0000
Be 2.7104 4.9507 4.9507
Be 4.9507 4.9507 2.7104
Be 4.9507 2.7104 4.9507
Be 2.7104 2.7104 2.7104
```

Its space-group type is F-43m (216). Its density of states at the Fermi level is 6.35 states/eV/cell. The formation energy is 0.66 eV/atom. The total energy is -2.833 eV per atom. The magnetic moment is 0.0 μB/cell.


Number 3 is which compound? KLaBe4